Entry from Alexandria via LeMat-Bulk: NpTlNi2O8 after structural relaxation (GGA+U).

Lattice parameters (Å, degrees): 4.7583 4.7583 6.6420 90.00 90.00 91.38
Last column: nearest neighbours and their distance in Å.
Sites, in units of the cell vectors:
Np 0.0000 0.0000 0.0000  6 O 2.01-2.03
Tl 0.0000 0.0000 0.5000  6 O 2.12-2.34
Ni 0.5000 0.5000 0.2492  6 O 2.02-2.10
Ni 0.5000 0.5000 0.7508  6 O 2.02-2.10
O 0.2049 0.7951 0.2177  1 Np 2.01, 1 Ni 2.02
O 0.2049 0.7951 0.7823  1 Np 2.01, 1 Ni 2.02
O 0.3050 0.3050 0.0000  1 Np 2.03, 2 Ni 2.10
O 0.3195 0.3195 0.5000  2 Ni 2.05, 1 Tl 2.12
O 0.6805 0.6805 0.5000  2 Ni 2.05, 1 Tl 2.12
O 0.6950 0.6950 0.0000  1 Np 2.03, 2 Ni 2.10
O 0.7951 0.2049 0.2177  1 Np 2.01, 1 Ni 2.02
O 0.7951 0.2049 0.7823  1 Np 2.01, 1 Ni 2.02

The calculation puts the density of states at the Fermi level at 9.1 states/eV per cell. As for the total magnetization: 3.672 Bohr magnetons per cell. Its total energy is -6.233 eV per atom.